Here is an optimized crystal structure of Fe5Co2NiPt2 from Alexandria via LeMat-Bulk. Energies are from GGA-PBE.

Cell and atoms, written as CIF:
```
data_Fe5Co2NiPt2
_chemical_formula_sum 'Fe10 Co4 Ni2 Pt4'
_cell_length_a 8.290
_cell_length_b 8.290
_cell_length_c 3.773
_cell_angle_alpha 90.00
_cell_angle_beta 90.00
_cell_angle_gamma 90.00
_space_group_name_H-M_alt 'P 1'
_space_group_IT_number 1
loop_
_space_group_symop_operation_xyz
'x,y,z'
loop_
_atom_site_label
_atom_site_type_symbol
_atom_site_fract_x
_atom_site_fract_y
_atom_site_fract_z
Fe1 Fe 0.000 0.500 0.000
Fe2 Fe 0.068 0.201 0.000
Fe3 Fe 0.201 0.932 0.000
Fe4 Fe 0.299 0.432 0.000
Fe5 Fe 0.432 0.701 0.000
Fe6 Fe 0.500 0.000 0.000
Fe7 Fe 0.568 0.299 0.000
Fe8 Fe 0.701 0.568 0.000
Fe9 Fe 0.799 0.068 0.000
Fe10 Fe 0.932 0.799 0.000
Co1 Co 0.115 0.385 0.500
Co2 Co 0.385 0.885 0.500
Co3 Co 0.615 0.115 0.500
Co4 Co 0.885 0.615 0.500
Ni1 Ni 0.000 0.000 0.500
Ni2 Ni 0.500 0.500 0.500
Pt1 Pt 0.180 0.680 0.500
Pt2 Pt 0.320 0.180 0.500
Pt3 Pt 0.680 0.820 0.500
Pt4 Pt 0.820 0.320 0.500
```

Space-group type: No. 127
Calculated density: 10.84 g cm⁻³
Final energy: -146.36 eV for the cell shown